Record 1
VCrAg2As: optimized geometry, GGA-PBE.

## Properties
Formation enthalpy at 0 K: 0.966 eV/atom
E_tot: -24.26 eV for the cell shown
Total magnetic moment: 5.95 Bohr magnetons per cell
Mass density: 5.66 Mg/m³
Fermi-level density of states: 0.7189 states/eV per atom

Unit cell a=5.002 b=4.618 c=5.002 alpha=90.00 beta=90.00 gamma=90.00
Site moments in Bohr magnetons follow the coordinates.
Element x y z (fractional)
Cr  0.500  0.500  0.500  -4.08
As  0.000  0.500  0.000  0.09
Ag  0.000  0.000  0.500  -0.03
Ag  0.500  0.000  0.000  -0.04
V  0.000  0.000  0.000  -1.29



Record 2
BeNi2W2: optimized geometry, GGA-PBE.

## Properties
Polymorph energy (0 for the lowest one): 3.16 kJ per mole of atoms
Formation enthalpy at 0 K: 0.597 eV/atom
E_tot: -38.21 eV for the cell shown
Total magnetic moment: 0.00 Bohr magnetons per cell
Mass density: 12.30 Mg/m³
Fermi-level density of states: 1.2632 states/eV per atom

Unit cell a=3.107 b=3.107 c=7.251 alpha=77.63 beta=77.63 gamma=90.00
Element x y z (fractional)
Be  0.000  0.000  0.000
Ni  0.250  0.750  0.500
Ni  0.750  0.250  0.500
W  0.600  0.600  0.800
W  0.400  0.400  0.200



Record 3
Ba4HgSb2: optimized geometry, GGA-PBE.

## Properties
E_form (uncorrected): -18.6 kcal/mol of atoms
E_tot: -21.90 eV for the cell shown
Total magnetic moment: 0.00 Bohr magnetons per cell
Mass density: 5.58 Mg/m³
Fermi-level density of states: 0.8651 states/eV per atom

Unit cell a=5.942 b=5.943 c=10.250 alpha=73.18 beta=73.18 gamma=60.00
Element x y z (fractional)
Sb  0.753  0.753  0.740
Sb  0.247  0.247  0.260
Ba  0.876  0.876  0.372
Ba  0.374  0.374  0.879
Ba  0.124  0.124  0.628
Ba  0.626  0.626  0.121
Hg  0.000  0.000  0.000



Record 4
Cs2PuTe3: optimized geometry, GGA-PBE.

## Properties
E_form (uncorrected): -20.9 kcal/mol of atoms
E_tot: -30.89 eV for the cell shown
Total magnetic moment: 3.99 Bohr magnetons per cell
Mass density: 5.60 Mg/m³
Fermi-level density of states: 2.1436 states/eV per atom

Unit cell a=4.616 b=6.771 c=9.405 alpha=111.10 beta=104.20 gamma=90.00
Site moments in Bohr magnetons follow the coordinates.
Element x y z (fractional)
Cs  0.315  0.815  0.629  -0.01
Cs  0.685  0.185  0.371  -0.01
Te  0.619  0.619  0.239  -0.17
Te  0.381  0.381  0.761  -0.17
Te  0.000  0.000  0.000  -0.28
Pu  0.000  0.500  0.000  5.04



Record 5
NaGa2SnBr5: optimized geometry, GGA-PBE.

## Properties
E_form (uncorrected): -18.8 kcal/mol of atoms
E_tot: -54.17 eV for the cell shown
Total magnetic moment: 0.00 Bohr magnetons per cell
Mass density: 3.65 Mg/m³
Fermi-level density of states: 0.0000 states/eV per atom

Unit cell a=4.370 b=9.492 c=15.323 alpha=90.00 beta=90.00 gamma=103.31
Element x y z (fractional)
Ga  0.879  0.758  0.760
Ga  0.121  0.242  0.260
Ga  0.081  0.162  0.654
Ga  0.919  0.838  0.154
Br  0.392  0.784  0.018
Br  0.704  0.407  0.902
Br  0.510  0.019  0.273
Br  0.930  0.859  0.568
Br  0.070  0.141  0.068
Br  0.261  0.523  0.670
Br  0.608  0.216  0.518
Br  0.490  0.981  0.773
Br  0.296  0.593  0.402
Br  0.739  0.477  0.170
Na  0.545  0.090  0.948
Na  0.455  0.910  0.448
Sn  0.768  0.537  0.531
Sn  0.232  0.463  0.031



Record 6
Cu2Ag2Pd7: optimized geometry, GGA-PBE.

## Properties
Polymorph energy (0 for the lowest one): 0.00 kJ per mole of atoms
Formation enthalpy at 0 K: 0.083 eV/atom
E_tot: -49.33 eV for the cell shown
Total magnetic moment: 0.00 Bohr magnetons per cell
Mass density: 10.40 Mg/m³
Fermi-level density of states: 1.5339 states/eV per atom

Unit cell a=4.475 b=6.979 c=6.937 alpha=120.20 beta=108.81 gamma=90.00
Element x y z (fractional)
Ag  0.287  0.918  0.575
Ag  0.713  0.343  0.425
Cu  0.500  0.309  0.000
Cu  0.000  0.631  0.000
Pd  0.870  0.196  0.739
Pd  0.500  0.926  0.000
Pd  0.130  0.456  0.261
Pd  0.134  0.064  0.269
Pd  0.638  0.746  0.275
Pd  0.362  0.471  0.725
Pd  0.866  0.795  0.731